No. 1
# BeSbH2 GGA-PBE optimized geometry
# - relative energy among the computed polymorphs (eV/atom) = 0.118
data_BeSbH2
_chemical_formula_sum 'Be2 Sb2 H4'
_cell_length_a 4.422
_cell_length_b 4.269
_cell_length_c 6.204
_cell_angle_alpha 90.00
_cell_angle_beta 90.67
_cell_angle_gamma 90.00
_symmetry_space_group_name_H-M 'P 1 m 1'
_symmetry_Int_Tables_number 6
loop_
_symmetry_equiv_pos_as_xyz
'x,y,z'
'x,-y,z'
loop_
_atom_site_label
_atom_site_fract_x
_atom_site_fract_y
_atom_site_fract_z
_atom_site_occupancy
Be1 0.000 0.000 0.000 1
Be2 0.498 0.000 0.706 1
Sb1 0.484 0.500 0.496 1
Sb2 0.980 0.500 0.200 1
H1 0.283 0.000 0.881 1
H2 0.782 0.000 0.823 1
H3 0.996 0.411 0.733 1

---

No. 2
# Be2SbH GGA-PBE optimized geometry
# - relative energy among the computed polymorphs (eV/atom) = 0.000
data_Be2SbH
_chemical_formula_sum 'Be8 Sb4 H4'
_cell_length_a 4.282
_cell_length_b 4.282
_cell_length_c 10.683
_cell_angle_alpha 90.00
_cell_angle_beta 90.00
_cell_angle_gamma 90.00
_symmetry_space_group_name_H-M 'I -4 2 d'
_symmetry_Int_Tables_number 122
_symmetry_space_group_name_Hall 'I -4 2bw'
loop_
_atom_site_label
_atom_site_fract_x
_atom_site_fract_y
_atom_site_fract_z
_atom_site_occupancy
Be1 0.050 0.250 0.125 1
Sb1 0.000 0.000 0.500 1
H1 0.000 0.000 0.000 1